1.
# CaTaTi3

An optimized crystal structure of CaTaTi3 (GGA-PBE, Alexandria via LeMat-Bulk).

abc: 4.951 4.951 4.951
angles: 90.00 90.00 90.00
Last column: magnetic moment on the atom in μB.
Sites, in units of the cell vectors:
Ca1 0.500 0.500 0.500  0.02
Ti1 0.000 0.500 0.000  0.28
Ti2 0.000 0.000 0.500  0.16
Ti3 0.500 0.000 0.000  0.46
Ta1 0.000 0.000 0.000  -0.03

Calculated values
Magnetic moment ... 1.255 μB/f.u.
Symmetry ... Pm-3m
Uncorrected energy ... -6.7376 eV per atom
Energy relative to the lowest polymorph listed for this composition ... 0 meV/atom
DFT formation energy ... 770 meV/atom

---

2.
# CaTaTi2

An optimized crystal structure of CaTaTi2 (GGA-PBE, Alexandria via LeMat-Bulk).

abc: 4.210 4.210 10.182
angles: 78.07 78.07 90.00
Sites, in units of the cell vectors:
Ca1 0.500 0.500 0.000
Ca2 0.250 0.750 0.500
Ti1 0.091 0.125 0.250
Ti2 0.659 0.625 0.250
Ti3 0.375 0.909 0.750
Ti4 0.875 0.341 0.750
Ta1 0.000 0.000 0.000
Ta2 0.750 0.250 0.500

Calculated values
Magnetic moment ... 0.000 μB/f.u.
Symmetry ... I-42d
Uncorrected energy ... -6.4057 eV per atom
Energy relative to the lowest polymorph listed for this composition ... 450 meV/atom
DFT formation energy ... 1005 meV/atom

---

3.
# Ca3TaTi

An optimized crystal structure of Ca3TaTi (GGA-PBE, Alexandria via LeMat-Bulk).

abc: 5.651 5.651 5.651
angles: 90.00 90.00 90.00
Last column: magnetic moment on the atom in μB.
Sites, in units of the cell vectors:
Ca1 0.000 0.500 0.000  -0.06
Ca2 0.000 0.000 0.500  -0.05
Ca3 0.500 0.000 0.000  -0.04
Ti1 0.500 0.500 0.500  1.93
Ta1 0.000 0.000 0.000  -1.06

Calculated values
Magnetic moment ... 1.146 μB/f.u.
Symmetry ... Pm-3m
Uncorrected energy ... -3.7092 eV per atom
Energy relative to the lowest polymorph listed for this composition ... 0 meV/atom
DFT formation energy ... 1441 meV/atom

---

4.
# CaTa2TiZn

An optimized crystal structure of CaTa2TiZn (GGA-PBE, Alexandria via LeMat-Bulk).

abc: 4.738 4.838 4.738
angles: 90.00 90.00 90.00
Sites, in units of the cell vectors:
Zn1 0.000 0.500 0.000
Ti1 0.500 0.500 0.500
Ca1 0.000 0.000 0.000
Ta1 0.000 0.000 0.500
Ta2 0.500 0.000 0.000

Calculated values
Magnetic moment ... 0.000 μB/f.u.
Symmetry ... P4/mmm
Uncorrected energy ... -4.8380 eV per atom
DFT formation energy ... 2137 meV/atom

---

5.
# CaTaTl

An optimized crystal structure of CaTaTl (GGA-PBE, Alexandria via LeMat-Bulk).

abc: 7.775 7.774 3.078
angles: 78.59 78.57 22.84
Sites, in units of the cell vectors:
Tl1 0.674 0.674 0.326
Ca1 0.998 0.998 0.002
Ta1 0.328 0.328 0.672

Calculated values
Magnetic moment ... 0.002 μB/f.u.
Symmetry ... I4mm
Uncorrected energy ... -4.9958 eV per atom
Energy relative to the lowest polymorph listed for this composition ... 0 meV/atom
DFT formation energy ... 411 meV/atom

---

6.
# CaTaTl

An optimized crystal structure of CaTaTl (GGA-PBE, Alexandria via LeMat-Bulk).

abc: 3.253 3.253 7.887
angles: 90.00 90.00 120.00
Sites, in units of the cell vectors:
Tl1 0.667 0.333 0.654
Ca1 0.000 0.000 0.007
Ta1 0.333 0.667 0.339

Calculated values
Magnetic moment ... 0.000 μB/f.u.
Symmetry ... P3m1
Uncorrected energy ... -4.9306 eV per atom
Energy relative to the lowest polymorph listed for this composition ... 65 meV/atom
DFT formation energy ... 476 meV/atom

---

7.
# CaTaTl

An optimized crystal structure of CaTaTl (GGA-PBE, Alexandria via LeMat-Bulk).

abc: 4.934 4.934 4.934
angles: 60.00 60.00 60.00
Last column: magnetic moment on the atom in μB.
Sites, in units of the cell vectors:
Tl1 0.750 0.750 0.750  -0.05
Ca1 0.000 0.000 0.000  0.07
Ta1 0.500 0.500 0.500  1.10

Calculated values
Magnetic moment ... 1.765 μB/f.u.
Symmetry ... F-43m
Uncorrected energy ... -4.4660 eV per atom
Energy relative to the lowest polymorph listed for this composition ... 530 meV/atom
DFT formation energy ... 941 meV/atom

---

8.
# CaTa3Tl

An optimized crystal structure of CaTa3Tl (GGA-PBE, Alexandria via LeMat-Bulk).

abc: 5.192 5.192 5.192
angles: 90.00 90.00 90.00
Sites, in units of the cell vectors:
Tl1 0.000 0.000 0.000
Ca1 0.500 0.500 0.500
Ta1 0.000 0.500 0.000
Ta2 0.000 0.000 0.500
Ta3 0.500 0.000 0.000

Calculated values
Magnetic moment ... 0.000 μB/f.u.
Symmetry ... Pm-3m
Uncorrected energy ... -5.9537 eV per atom
Energy relative to the lowest polymorph listed for this composition ... 0 meV/atom
DFT formation energy ... 2031 meV/atom

---

9.
# CaTa3Tl

An optimized crystal structure of CaTa3Tl (GGA-PBE, Alexandria via LeMat-Bulk).

abc: 4.824 4.824 4.824
angles: 90.00 90.00 90.00
Sites, in units of the cell vectors:
Tl1 0.500 0.500 0.500
Ca1 0.000 0.000 0.000
Ta1 0.000 0.500 0.000
Ta2 0.000 0.000 0.500
Ta3 0.500 0.000 0.000

Calculated values
Magnetic moment ... 0.000 μB/f.u.
Symmetry ... Pm-3m
Uncorrected energy ... -5.5040 eV per atom
Energy relative to the lowest polymorph listed for this composition ... 450 meV/atom
DFT formation energy ... 2481 meV/atom

---

10.
# CaTaTl

An optimized crystal structure of CaTaTl (GGA-PBE, Alexandria via LeMat-Bulk).

abc: 6.285 6.285 6.285
angles: 150.92 142.16 48.42
Sites, in units of the cell vectors:
Tl1 0.315 0.315 0.000
Ca1 0.000 0.000 0.000
Ta1 0.685 0.685 0.000

Calculated values
Magnetic moment ... 0.000 μB/f.u.
Symmetry ... Imm2
Uncorrected energy ... -4.8544 eV per atom
Energy relative to the lowest polymorph listed for this composition ... 141 meV/atom
DFT formation energy ... 552 meV/atom

---

11.
# CaTa4Tl

An optimized crystal structure of CaTa4Tl (GGA-PBE, Alexandria via LeMat-Bulk).

abc: 5.693 5.693 5.693
angles: 60.00 60.00 60.00
Sites, in units of the cell vectors:
Ca1 0.000 0.000 0.000
Ta1 0.885 0.372 0.372
Ta2 0.372 0.372 0.885
Ta3 0.372 0.885 0.372
Ta4 0.372 0.372 0.372
Tl1 0.750 0.750 0.750

Calculated values
Magnetic moment ... 0.000 μB/f.u.
Symmetry ... F-43m
Uncorrected energy ... -8.1133 eV per atom
DFT formation energy ... 516 meV/atom

---

12.
# Ca2TaTlZn

An optimized crystal structure of Ca2TaTlZn (GGA-PBE, Alexandria via LeMat-Bulk).

abc: 5.861 5.358 5.861
angles: 90.00 90.00 90.00
Last column: magnetic moment on the atom in μB.
Sites, in units of the cell vectors:
Tl1 0.000 0.000 0.000  0.02
Ca1 0.000 0.000 0.500  0.01
Ca2 0.500 0.000 0.000  0.03
Zn1 0.500 0.500 0.500  0.03
Ta1 0.000 0.500 0.000  1.63

Calculated values
Magnetic moment ... 3.199 μB/f.u.
Symmetry ... P4/mmm
Uncorrected energy ... -2.9189 eV per atom
DFT formation energy ... 980 meV/atom

---

13.
# CaTa3V

An optimized crystal structure of CaTa3V (GGA-PBE, Alexandria via LeMat-Bulk).

abc: 4.791 4.791 4.791
angles: 90.00 90.00 90.00
Sites, in units of the cell vectors:
Ca1 0.500 0.500 0.500
Ta1 0.000 0.500 0.000
Ta2 0.000 0.000 0.500
Ta3 0.500 0.000 0.000
V1 0.000 0.000 0.000

Calculated values
Magnetic moment ... 0.000 μB/f.u.
Symmetry ... Pm-3m
Uncorrected energy ... -8.3435 eV per atom
Energy relative to the lowest polymorph listed for this composition ... 0 meV/atom
DFT formation energy ... 992 meV/atom

---

14.
# Ca3TaV

An optimized crystal structure of Ca3TaV (GGA-PBE, Alexandria via LeMat-Bulk).

abc: 5.655 5.655 5.655
angles: 90.00 90.00 90.00
Last column: magnetic moment on the atom in μB.
Sites, in units of the cell vectors:
Ca1 0.000 0.500 0.000  -0.06
Ca2 0.000 0.000 0.500  -0.06
Ca3 0.500 0.000 0.000  -0.06
Ta1 0.000 0.000 0.000  -1.07
V1 0.500 0.500 0.500  3.08

Calculated values
Magnetic moment ... 2.323 μB/f.u.
Symmetry ... Pm-3m
Uncorrected energy ... -3.8660 eV per atom
Energy relative to the lowest polymorph listed for this composition ... 59 meV/atom
DFT formation energy ... 1529 meV/atom

---

15.
# Ca2TaV

An optimized crystal structure of Ca2TaV (GGA-PBE, Alexandria via LeMat-Bulk).

abc: 5.228 5.228 5.228
angles: 60.00 60.00 60.00
Last column: magnetic moment on the atom in μB.
Sites, in units of the cell vectors:
Ca1 0.250 0.250 0.250  -0.04
Ca2 0.750 0.750 0.750  -0.04
Ta1 0.500 0.500 0.500  -1.63
V1 0.000 0.000 0.000  2.75

Calculated values
Magnetic moment ... 0.817 μB/f.u.
Symmetry ... Fm-3m
Uncorrected energy ... -5.1653 eV per atom
Energy relative to the lowest polymorph listed for this composition ... 0 meV/atom
DFT formation energy ... 1078 meV/atom